CuH3 | PBE | relaxed

Summary:
**Relative energy among the computed polymorphs**: 33 meV/atom
**ρ**: 3.8 g/cm³

Lattice parameters (Å, degrees): 2.5161 2.7939 4.1843 90.00 90.00 90.00
Last column: nearest neighbours and their distance in Å.
Atoms (fractional coordinates):
H  0.0000  0.5000  0.2990  2 H 1.29
H  0.5000  0.5000  0.2305  2 H 1.29
H  0.5000  0.0000  0.7742  2 Cu 1.65
Cu  0.0000  0.0000  0.0296  4 H 1.65-1.80

***

ZnTc | PBE | relaxed

Summary:
**Relative energy among the computed polymorphs**: 214 meV/atom
**ρ**: 9.4 g/cm³
**DFT formation energy**: 174 meV/atom

Lattice parameters (Å, degrees): 4.7375 4.7375 4.7375 33.58 33.58 33.58
Last column: nearest neighbours and their distance in Å.
Atoms (fractional coordinates):
Tc  0.0000  0.0000  0.0000  6 Zn 2.74, 6 Tc 2.74
Zn  0.5000  0.5000  0.5000  6 Tc 2.74, 6 Zn 2.74

***

Tl3TcPt | PBE | relaxed

Summary:
**Relative energy among the computed polymorphs**: 0 meV/atom
**ρ**: 10.2 g/cm³
**DFT formation energy**: 933 meV/atom

Lattice parameters (Å, degrees): 5.2912 5.2912 5.2912 90.00 90.00 90.00
Last column: nearest neighbours and their distance in Å.
Atoms (fractional coordinates):
Tl  0.0000  0.5000  0.0000  2 Pt 2.65
Tl  0.0000  0.0000  0.5000  2 Pt 2.65
Tl  0.5000  0.0000  0.0000  2 Pt 2.65
Tc  0.5000  0.5000  0.5000  12 Tl 3.74
Pt  0.0000  0.0000  0.0000  6 Tl 2.65

***

SrSn3Te | PBE | relaxed

Summary:
**Relative energy among the computed polymorphs**: 703 meV/atom
**ρ**: 4.2 g/cm³
**Formation energy (no corrections)**: 887 meV/atom

Lattice parameters (Å, degrees): 6.0863 6.0863 6.0863 90.00 90.00 90.00
Last column: nearest neighbours and their distance in Å.
Atoms (fractional coordinates):
Sr  0.0000  0.0000  0.0000  6 Sn 3.04
Te  0.5000  0.5000  0.5000  12 Sn 4.30
Sn  0.0000  0.5000  0.0000  2 Sr 3.04
Sn  0.0000  0.0000  0.5000  2 Sr 3.04
Sn  0.5000  0.0000  0.0000  2 Sr 3.04

***

SrY3Pt | PBE | relaxed

Summary:
**Relative energy among the computed polymorphs**: 1748 meV/atom
**ρ**: 6.0 g/cm³
**DFT formation energy**: 1341 meV/atom

Lattice parameters (Å, degrees): 5.3474 5.3474 5.3474 90.00 90.00 90.00
Last column: nearest neighbours and their distance in Å.
Atoms (fractional coordinates):
Y  0.0000  0.5000  0.0000  2 Sr 2.67
Y  0.0000  0.0000  0.5000  2 Sr 2.67
Y  0.5000  0.0000  0.0000  2 Sr 2.67
Sr  0.0000  0.0000  0.0000  6 Y 2.67
Pt  0.5000  0.5000  0.5000  12 Y 3.78

***

Cd2HgIrO6 | PBE | relaxed

Summary:
**ρ**: 8.4 g/cm³
**Formation energy (no corrections)**: -668 meV/atom

Lattice parameters (Å, degrees): 5.7672 5.7668 5.9344 60.93 60.92 60.00
Last column: nearest neighbours and their distance in Å.
Atoms (fractional coordinates):
Cd  0.5399  0.5399  0.3803  6 O 2.29-2.43
Cd  0.0146  0.0146  0.9561  6 O 2.28-2.38
Hg  0.7667  0.7667  0.7000  3 O 2.24
Ir  0.3258  0.3258  0.0227  6 O 1.92-1.99
O  0.5556  0.2394  0.2211  1 Ir 1.92
O  0.2394  0.9840  0.2211  1 Ir 1.92
O  0.9840  0.5556  0.2210  1 Ir 1.92
O  0.3939  0.6868  0.7643  1 Ir 1.99
O  0.6868  0.1550  0.7643  1 Ir 1.99
O  0.1550  0.3939  0.7643  1 Ir 1.99